1.
BHI PBE-GGA optimized geometry; D(E_F) = 0.6 states/eV per cell; energy above the lowest structure with this stoichiometry = 0.020 eV per atom; calculated total energy = -3.61 eV per atom; spin magnetization = 0.00 μB per cell
1.0
3.339 0.000 0.000
0.967 6.518 0.000
0.108 0.137 6.690
B H I
2 2 2
direct
0.132 0.008 0.395 B
0.868 0.992 0.605 B
0.215 0.152 0.299 H
0.785 0.848 0.701 H
0.268 0.720 0.229 I
0.732 0.280 0.771 I

=====

2.
B2H4I5 PBE-GGA optimized geometry; D(E_F) = 8.9 states/eV per cell; calculated total energy = -2.71 eV per atom; spin magnetization = 0.00 μB per cell
1.0
-1.497 3.740 13.811
1.497 -3.740 13.811
1.497 3.740 -13.811
B H I
2 4 5
direct
0.027 0.027 0.000 B
0.973 0.973 0.000 B
0.070 0.070 0.000 H
0.101 0.500 0.601 H
0.899 0.500 0.399 H
0.930 0.930 0.000 H
0.084 0.333 0.751 I
0.418 0.667 0.751 I
0.500 0.000 0.500 I
0.582 0.333 0.249 I
0.916 0.667 0.249 I

=====

Q: Number 2 is which compound?
A: B2H4I5

=====

Q: calculated total energy of number 1 (BHI)?
A: -3.61 eV per atom

=====

Q: Among the records above, which one has the lowest D(E_F)?
A: BHI